[1]
This record from Alexandria describes a relaxed structure of Cs4PmU3Te8. The functional is PBE.

DOS(E_F) = 25.13 states/eV/f.u.
V = 1963.8 Å³ per cell
Crystal system = trigonal

Structure (CIF):
```
data_Cs4PmU3Te8
_chemical_formula_sum 'Cs12 Pm3 U9 Te24'
_symmetry_space_group_name_H-M 'R -3 m'
_symmetry_Int_Tables_number 166
_symmetry_space_group_name_Hall '-R 3 2"'
_cell_length_a 9.1741
_cell_length_b 9.1741
_cell_length_c 26.9428
_cell_angle_alpha 90.00
_cell_angle_beta 90.00
_cell_angle_gamma 120.00
loop_
_atom_site_label
_atom_site_fract_x
_atom_site_fract_y
_atom_site_fract_z
Cs1 0.0000 0.0000 0.0000
Cs2 0.0000 0.5000 0.0000
Pm1 0.0000 0.0000 0.5000
U1 0.0000 0.5000 0.5000
Te1 0.0000 0.0000 0.2305
Te2 0.0029 0.5014 0.7689
```

[2]
This record from Alexandria describes a relaxed structure of Cs2Pm2UTe6. The functional is PBE.

DOS(E_F) = 7.35 states/eV/f.u.
V = 978.2 Å³ per cell
Crystal system = monoclinic

Structure (CIF):
```
data_Cs2Pm2UTe6
_chemical_formula_sum 'Cs4 Pm4 U2 Te12'
_symmetry_space_group_name_H-M 'C 1 2/m 1'
_symmetry_Int_Tables_number 12
_symmetry_space_group_name_Hall '-C 2y'
_cell_length_a 7.863
_cell_length_b 13.566
_cell_length_c 9.555
_cell_angle_alpha 90.00
_cell_angle_beta 106.32
_cell_angle_gamma 90.00
loop_
_atom_site_label
_atom_site_fract_x
_atom_site_fract_y
_atom_site_fract_z
Cs1 0.000 0.170 0.000
Pm1 0.000 0.333 0.500
U1 0.000 0.000 0.500
Te1 0.229 0.161 0.691
Te2 0.240 0.500 0.689
```

[3]
This record from Alexandria describes a relaxed structure of Cs3PmU2Te6. The functional is PBE.

DOS(E_F) = 15.55 states/eV/f.u.
V = 984.0 Å³ per cell
Crystal system = monoclinic

Structure (CIF):
```
data_Cs3PmU2Te6
_chemical_formula_sum 'Cs6 Pm2 U4 Te12'
_symmetry_space_group_name_H-M 'C 1 2/m 1'
_symmetry_Int_Tables_number 12
_symmetry_space_group_name_Hall '-C 2y'
_cell_length_a 7.955
_cell_length_b 13.782
_cell_length_c 9.358
_cell_angle_alpha 90.00
_cell_angle_beta 106.45
_cell_angle_gamma 90.00
loop_
_atom_site_label
_atom_site_fract_x
_atom_site_fract_y
_atom_site_fract_z
Cs1 0.000 0.000 0.000
Cs2 0.000 0.335 0.000
Pm1 0.000 0.500 0.500
U1 0.000 0.167 0.500
Te1 0.227 0.000 0.693
Te2 0.233 0.331 0.693
```

Record-wise energy relative to the elements, uncorrected values, in eV/f.u.: -15.6 -13.2 -12.3
Record-wise total DFT energy (no corrections) values, in eV per atom: -5.17 -4.96 -5.08